[1]
The following is a DFT calculation (GGA-PBE) of a relaxed La6Ir2RuI3 crystal.

Cell and atoms, written as CIF:
```
data_La6Ir2RuI3
_symmetry_space_group_name_H-M 'C 1 2/m 1'
_symmetry_Int_Tables_number 12
_cell_length_a 7.3429
_cell_length_b 12.7178
_cell_length_c 8.6058
_cell_angle_alpha 90.00
_cell_angle_beta 106.51
_cell_angle_gamma 90.00
loop_
_symmetry_equiv_pos_as_xyz
'x,y,z'
'-x,-y,-z'
'-x,y,-z'
'x,-y,z'
'x+1/2,y+1/2,z'
'-x+1/2,-y+1/2,-z'
'-x+1/2,y+1/2,-z'
'x+1/2,-y+1/2,z'
loop_
_atom_site_label
_atom_site_fract_x
_atom_site_fract_y
_atom_site_fract_z
La1 0.2260 0.1646 0.1846
La2 0.2323 0.5000 0.1848
Ir1 0.0000 0.3333 0.0000
Ru1 0.0000 0.0000 0.0000
I1 0.0000 0.1664 0.5000
I2 0.0000 0.5000 0.5000
```

Raw formation energy, eV per atom: -1.003
DOS(E_F), states/eV/f.u.: 4.93
Spin magnetization, μB/f.u.: 0.00

---

[2]
The following is a DFT calculation (GGA-PBE) of a relaxed La6Ir2RuI2 crystal.

Cell and atoms, written as CIF:
```
data_La6Ir2RuI2
_symmetry_space_group_name_H-M 'C 1 2/m 1'
_symmetry_Int_Tables_number 12
_cell_length_a 7.3189
_cell_length_b 12.7148
_cell_length_c 8.6952
_cell_angle_alpha 90.00
_cell_angle_beta 106.41
_cell_angle_gamma 90.00
loop_
_symmetry_equiv_pos_as_xyz
'x,y,z'
'-x,-y,-z'
'-x,y,-z'
'x,-y,z'
'x+1/2,y+1/2,z'
'-x+1/2,-y+1/2,-z'
'-x+1/2,y+1/2,-z'
'x+1/2,-y+1/2,z'
loop_
_atom_site_label
_atom_site_fract_x
_atom_site_fract_y
_atom_site_fract_z
La1 0.2237 0.1669 0.1809
La2 0.2364 0.5000 0.1795
Ir1 0.0000 0.3322 0.0000
Ru1 0.0000 0.0000 0.0000
I1 0.0000 0.1657 0.5000
```

Raw formation energy, eV per atom: -0.832
DOS(E_F), states/eV/f.u.: 6.28
Spin magnetization, μB/f.u.: 0.17

---

Values of volume, in order: 770.5, 776.2, all in Å³ per cell.
Values of ρ, in order: 7.326, 6.729, all in g cm⁻³.